[1]
## La2CoBr2 (PBE)

Data for a relaxed structure of La2CoBr2.

Lattice parameters (Å, degrees): 4.1098 4.1094 11.4805 81.81 79.61 60.00
Last column: nearest neighbours and their distance in Å.
Atoms (fractional coordinates):
La 0.6222 0.6099 0.1441  3 Co 2.79-2.92, 2 Br 3.10
La 0.3778 0.3901 0.8559  3 Co 2.79-2.92, 2 Br 3.10
Co 0.0000 0.0000 0.0000  6 La 2.79-2.92
Br 0.8871 0.8994 0.3232  3 La 3.10-3.14
Br 0.1129 0.1006 0.6768  3 La 3.10-3.14

Summary:
- Formation energy without anion corrections: -1.03 eV per atom
- Electronic total energy: -5.089 eV/atom
- Space-group type: P-1

[2]
## La5Co2Br2 (PBE)

Data for a relaxed structure of La5Co2Br2.

Lattice parameters (Å, degrees): 7.3382 8.5691 8.7989 90.00 65.35 90.00
Last column: nearest neighbours and their distance in Å.
Atoms (fractional coordinates):
La 0.9750 0.3334 0.7757  3 Co 2.87-3.01
La 0.5250 0.8334 0.2243  3 Co 2.87-3.01
La 0.4750 0.1666 0.7757  3 Co 2.87-3.01
La 0.7493 0.8334 0.7757  3 Co 2.87-3.01
La 0.2493 0.6666 0.7757  3 Co 2.87-3.01
La 0.5000 0.5000 0.0000  2 Co 2.66
La 0.0250 0.6666 0.2243  3 Co 2.87-3.01
La 0.2507 0.1666 0.2243  3 Co 2.87-3.01
La 0.7507 0.3334 0.2243  3 Co 2.87-3.01
La 0.0000 0.0000 0.0000  2 Co 2.66
Br 0.2038 0.0000 0.5923  7 La 3.26-3.42
Br 0.7038 0.5000 0.5923  7 La 3.26-3.42
Br 0.2962 0.5000 0.4077  7 La 3.26-3.42
Br 0.7962 0.0000 0.4077  7 La 3.26-3.42
Co 0.1607 0.3893 0.0000  5 La 2.66-2.98
Co 0.6607 0.1107 0.0000  5 La 2.66-2.98
Co 0.3393 0.8893 0.0000  5 La 2.66-2.98
Co 0.8393 0.6107 0.0000  5 La 2.66-2.98

Summary:
- Formation energy without anion corrections: -0.63 eV per atom
- Electronic total energy: -5.317 eV/atom
- Space-group type: Cmce

[3]
## LaCo2Br (PBE)

Data for a relaxed structure of LaCo2Br.

Lattice parameters (Å, degrees): 3.9400 3.9368 6.0994 90.00 90.00 90.00
Last column: nearest neighbours and their distance in Å.
Atoms (fractional coordinates):
La 0.5000 0.5000 0.2500  8 Co 2.98, 2 Br 3.05
Br 0.5000 0.5000 0.7500  2 La 3.05
Co 0.0000 0.0000 0.0761  1 Co 2.12
Co 0.0000 0.0000 0.4239  1 Co 2.12

Summary:
- Formation energy without anion corrections: 0.13 eV per atom
- Electronic total energy: -5.073 eV/atom
- Space-group type: P4/mmm

[4]
## La2CoBr (PBE)

Data for a relaxed structure of La2CoBr.

Lattice parameters (Å, degrees): 4.8019 5.7925 3.5680 90.00 90.00 90.00
Last column: nearest neighbours and their distance in Å.
Atoms (fractional coordinates):
La 0.5000 0.5000 0.0000  4 Co 2.99
La 0.0000 0.0000 0.0000  4 Br 2.99
Br 0.5000 0.0000 0.5000  4 La 2.99
Co 0.0000 0.5000 0.5000  4 La 2.99

Summary:
- Formation energy without anion corrections: -0.41 eV per atom
- Electronic total energy: -5.070 eV/atom
- Space-group type: Pmmm

[5]
## La4Co2Br (PBE)

Data for a relaxed structure of La4Co2Br.

Lattice parameters (Å, degrees): 4.0788 4.0788 14.5794 81.96 81.96 60.00
Last column: nearest neighbours and their distance in Å.
Atoms (fractional coordinates):
La 0.1251 0.1251 0.6248  3 Co 2.76
La 0.8749 0.8749 0.3752  3 Co 2.76
La 0.7232 0.7232 0.8304  3 Co 2.80
La 0.2768 0.2768 0.1696  3 Co 2.80
Co 0.5751 0.5751 0.2748  6 La 2.76-2.80
Co 0.4249 0.4249 0.7252  6 La 2.76-2.80
Br 0.0000 0.0000 0.0000  6 La 3.39

Summary:
- Formation energy without anion corrections: -0.51 eV per atom
- Electronic total energy: -5.598 eV/atom
- Space-group type: R-3m

[6]
## LaCo2Br (PBE)

Data for a relaxed structure of LaCo2Br.

Lattice parameters (Å, degrees): 3.4168 3.4168 7.8040 90.00 90.00 90.00
Last column: nearest neighbours and their distance in Å.
Atoms (fractional coordinates):
Co 0.0000 0.0000 0.1363  4 Co 2.45, 1 La 2.55
Co 0.5000 0.5000 0.1876  4 Co 2.45
La 0.0000 0.0000 0.4636  1 Co 2.55
Br 0.5000 0.5000 0.7124  4 La 3.10, 4 Br 3.42

Summary:
- Formation energy without anion corrections: -0.11 eV per atom
- Electronic total energy: -5.316 eV/atom
- Space-group type: P4mm

[7]
## LaCo2Br (PBE)

Data for a relaxed structure of LaCo2Br.

Lattice parameters (Å, degrees): 4.1719 3.8613 5.2591 90.01 90.00 90.00
Last column: nearest neighbours and their distance in Å.
Atoms (fractional coordinates):
Co 0.0000 0.7498 0.0432  1 Co 2.18
Co 0.0000 0.7502 0.4568  1 Co 2.18
La 0.5000 0.2500 0.2500  8 Co 3.04, 4 Br 3.26
Br 0.5000 0.7500 0.7500  4 Co 2.59

Summary:
- Formation energy without anion corrections: -0.03 eV per atom
- Electronic total energy: -5.235 eV/atom
- Space-group type: Pmmm

[8]
## La2CoBr (PBE)

Data for a relaxed structure of La2CoBr.

Lattice parameters (Å, degrees): 6.1990 6.1990 4.6081 89.90 89.90 36.86
Last column: nearest neighbours and their distance in Å.
Atoms (fractional coordinates):
Br 0.4844 0.4844 0.6258  7 La 3.08-3.32
Co 0.2278 0.2278 0.1241  1 La 2.31
La 0.0317 0.0317 0.1256  1 Co 2.31
La 0.7561 0.7561 0.6245  4 Co 3.04, 3 Br 3.20-3.32

Summary:
- Formation energy without anion corrections: -0.56 eV per atom
- Electronic total energy: -5.218 eV/atom
- Space-group type: Cm

[9]
## La2CoBr (PBE)

Data for a relaxed structure of La2CoBr.

Lattice parameters (Å, degrees): 4.0441 4.0441 8.3422 75.97 75.97 60.00
Last column: nearest neighbours and their distance in Å.
Atoms (fractional coordinates):
Br 0.4986 0.4986 0.5043  6 La 3.38-3.44
La 0.2702 0.2702 0.1895  3 Co 2.80
La 0.0637 0.0637 0.8089  3 Co 2.78
Co 0.6676 0.6676 0.9973  6 La 2.78-2.80

Summary:
- Formation energy without anion corrections: -0.81 eV per atom
- Electronic total energy: -5.470 eV/atom
- Space-group type: R3m

[10]
## LaCo2Br (PBE)

Data for a relaxed structure of LaCo2Br.

Lattice parameters (Å, degrees): 4.8562 4.8562 4.8562 60.00 60.00 60.00
Last column: nearest neighbours and their distance in Å.
Atoms (fractional coordinates):
Br 0.5000 0.5000 0.5000  4 La 2.97, 4 Co 2.97
La 0.7500 0.7500 0.7500  4 Br 2.97, 4 Co 2.97
Co 0.0000 0.0000 0.0000  4 Co 2.97, 4 La 2.97
Co 0.2500 0.2500 0.2500  4 Co 2.97, 4 Br 2.97

Summary:
- Formation energy without anion corrections: 0.30 eV per atom
- Electronic total energy: -4.904 eV/atom
- Space-group type: F-43m

[11]
## La3Co3Br (PBE)

Data for a relaxed structure of La3Co3Br.

Lattice parameters (Å, degrees): 4.0643 9.8544 9.8544 120.00 90.00 90.00
Last column: nearest neighbours and their distance in Å.
Atoms (fractional coordinates):
Co 0.2500 0.1526 0.1406  6 Co 2.50-2.51, 3 La 2.70-2.78
Co 0.2500 0.8594 0.0120  6 Co 2.50-2.51, 3 La 2.70-2.78
Co 0.7500 0.8474 0.8594  6 Co 2.50-2.51, 3 La 2.70-2.78
Co 0.7500 0.1406 0.9880  6 Co 2.50-2.51, 3 La 2.70-2.78
Co 0.7500 0.0120 0.1526  6 Co 2.50-2.51, 3 La 2.70-2.78
Co 0.2500 0.9880 0.8474  6 Co 2.50-2.51, 3 La 2.70-2.78
La 0.7500 0.3684 0.2926  3 Co 2.70-2.78
La 0.2500 0.6316 0.7074  3 Co 2.70-2.78
La 0.7500 0.9242 0.6316  3 Co 2.70-2.78
La 0.7500 0.7074 0.0758  3 Co 2.70-2.78
La 0.2500 0.0758 0.3684  3 Co 2.70-2.78
La 0.2500 0.2926 0.9242  3 Co 2.70-2.78
Br 0.2500 0.6667 0.3333  6 La 3.43
Br 0.7500 0.3333 0.6667  6 La 3.43

Summary:
- Formation energy without anion corrections: -0.43 eV per atom
- Electronic total energy: -5.822 eV/atom
- Space-group type: P6_3/m

[12]
## LaCo2Br (PBE)

Data for a relaxed structure of LaCo2Br.

Lattice parameters (Å, degrees): 5.8513 5.8513 5.8513 145.52 133.37 59.26
Last column: nearest neighbours and their distance in Å.
Atoms (fractional coordinates):
La 0.7500 0.2500 0.5000  4 Br 2.89, 4 Co 3.09
Co 0.0014 0.0014 0.0000  4 Co 2.89, 2 Br 3.07, 2 La 3.09
Co 0.4986 0.4986 0.0000  4 Co 2.89, 2 Br 3.07, 2 La 3.09
Br 0.2500 0.7500 0.5000  4 La 2.89, 4 Co 3.07

Summary:
- Formation energy without anion corrections: 0.27 eV per atom
- Electronic total energy: -4.930 eV/atom
- Space-group type: Immm

[13]
## LaCoMo2Br (PBE)

Data for a relaxed structure of LaCoMo2Br.

Lattice parameters (Å, degrees): 4.5418 5.2010 4.5418 90.00 90.00 90.00
Last column: nearest neighbours and their distance in Å.
Atoms (fractional coordinates):
La 0.5000 0.5000 0.5000  4 Br 3.21, 8 Mo 3.45
Mo 0.5000 0.0000 0.0000  2 Co 2.27
Mo 0.0000 0.0000 0.5000  2 Co 2.27
Br 0.0000 0.5000 0.0000  2 Co 2.60
Co 0.0000 0.0000 0.0000  4 Mo 2.27

Summary:
- Formation energy without anion corrections: 0.79 eV per atom
- Electronic total energy: -6.284 eV/atom
- Space-group type: P4/mmm

[14]
## La6CoBr3N2 (PBE)

Data for a relaxed structure of La6CoBr3N2.

Lattice parameters (Å, degrees): 6.7345 6.7345 7.9276 98.56 98.56 118.98
Last column: nearest neighbours and their distance in Å.
Atoms (fractional coordinates):
Br 0.5000 0.5000 0.5000  6 La 3.17-3.31
Br 0.8376 0.1624 0.5000  6 La 3.21-3.33
Br 0.1624 0.8376 0.5000  6 La 3.21-3.33
N 0.6683 0.3317 0.0000  6 La 2.58-2.66
N 0.3317 0.6683 0.0000  6 La 2.58-2.66
La 0.4105 0.0587 0.1873  2 N 2.58-2.66, 1 Co 2.75
La 0.0587 0.4105 0.1873  2 N 2.58-2.66, 1 Co 2.75
La 0.5895 0.9413 0.8127  2 N 2.58-2.66, 1 Co 2.75
La 0.7024 0.7024 0.1877  2 N 2.60, 1 Co 2.85
La 0.2976 0.2976 0.8123  2 N 2.60, 1 Co 2.85
La 0.9413 0.5895 0.8127  2 N 2.58-2.66, 1 Co 2.75
Co 0.0000 0.0000 0.0000  6 La 2.75-2.85

Summary:
- Formation energy without anion corrections: -1.18 eV per atom
- Electronic total energy: -6.046 eV/atom
- Space-group type: C2/m

[15]
## La6Co2Br3N (PBE)

Data for a relaxed structure of La6Co2Br3N.

Lattice parameters (Å, degrees): 6.9469 6.9469 8.1405 97.69 97.69 121.20
Last column: nearest neighbours and their distance in Å.
Atoms (fractional coordinates):
N 0.0000 0.0000 0.0000  6 La 2.57-2.67
Br 0.1714 0.8286 0.5000  6 La 3.34-3.41
Br 0.5000 0.5000 0.5000  6 La 3.33-3.43
Br 0.8286 0.1714 0.5000  6 La 3.34-3.41
Co 0.6651 0.3349 0.0000  6 La 2.69-2.82
Co 0.3349 0.6651 0.0000  6 La 2.69-2.82
La 0.6125 0.9311 0.8145  1 N 2.67, 2 Co 2.69-2.82
La 0.7526 0.7526 0.1881  1 N 2.57, 2 Co 2.80
La 0.2474 0.2474 0.8119  1 N 2.57, 2 Co 2.80
La 0.3875 0.0689 0.1855  1 N 2.67, 2 Co 2.69-2.82
La 0.0689 0.3875 0.1855  1 N 2.67, 2 Co 2.69-2.82
La 0.9311 0.6125 0.8145  1 N 2.67, 2 Co 2.69-2.82

Summary:
- Formation energy without anion corrections: -1.02 eV per atom
- Electronic total energy: -5.777 eV/atom
- Space-group type: C2/m

[16]
## La4CoBr2N (PBE)

Data for a relaxed structure of La4CoBr2N.

Lattice parameters (Å, degrees): 3.8016 7.0850 8.1211 107.98 90.00 90.00
Last column: nearest neighbours and their distance in Å.
Atoms (fractional coordinates):
La 0.0000 0.2721 0.8133  2 Co 2.65, 1 N 2.80
La 0.0000 0.7279 0.1867  2 Co 2.65, 1 N 2.80
La 0.5000 0.1991 0.1879  2 N 2.57
La 0.5000 0.8009 0.8121  2 N 2.57
Br 0.5000 0.0000 0.5000  6 La 3.26-3.28
Br 0.0000 0.5000 0.5000  6 La 3.35-3.41
N 0.0000 0.0000 0.0000  6 La 2.57-2.80
Co 0.5000 0.5000 0.0000  4 La 2.65

Summary:
- Formation energy without anion corrections: -1.09 eV per atom
- Electronic total energy: -5.905 eV/atom
- Space-group type: P2/m

[17]
## La8Co3Br3N (PBE)

Data for a relaxed structure of La8Co3Br3N.

Lattice parameters (Å, degrees): 7.7546 8.2129 9.1174 117.08 90.00 118.17
Last column: nearest neighbours and their distance in Å.
Atoms (fractional coordinates):
N 0.0000 0.0000 0.5000  4 La 2.55
Br 0.0000 0.5000 0.0000  6 La 3.34-3.36
Br 0.5000 0.5000 0.0000  6 La 3.34-3.36
Br 0.0000 0.0000 0.0000  6 La 3.33-3.36
Co 0.0000 0.5000 0.5000  6 La 2.67-2.98
Co 0.5000 0.5000 0.5000  6 La 2.67-2.98
Co 0.5000 0.0000 0.5000  6 La 2.68-2.98
La 0.2343 0.4686 0.6879  2 Co 2.67, 1 N 2.91
La 0.7407 0.4813 0.6938  3 Co 2.67-2.98
La 0.7714 0.0195 0.3156  1 N 2.55, 1 Co 2.68
La 0.7519 0.9805 0.6844  1 N 2.55, 1 Co 2.68
La 0.7657 0.5314 0.3121  2 Co 2.67, 1 N 2.91
La 0.2481 0.0195 0.3156  1 N 2.55, 1 Co 2.68
La 0.2593 0.5187 0.3062  3 Co 2.67-2.98
La 0.2286 0.9805 0.6844  1 N 2.55, 1 Co 2.68

Summary:
- Formation energy without anion corrections: -0.77 eV per atom
- Electronic total energy: -5.711 eV/atom
- Space-group type: C2/m